Entry 1:
A relaxed structure of Ac2SmIn, computed with PBE.

Results
- Raw total energy: -15.9 eV/cell
- Crystal system: trigonal
- Energy of formation from the pure elements: -0.25 eV per formula unit

Cell lengths 3.926, 3.926, 11.728 Å; angles 80.37, 80.37, 60.00 degrees
Atoms (fractional coordinates):
1 Sm 0.500 0.500 0.500
2 Ac 0.256 0.256 0.233
3 In 0.667 0.667 0.000
4 Ac 0.078 0.078 0.767



Entry 2:
A relaxed structure of PuSbPt5, computed with PBE.

Results
- Raw total energy: -207.9 eV/cell
- Crystal system: orthorhombic
- ΔE_f (raw): -0.474 eV/atom

Cell lengths 5.547, 8.832, 10.725 Å; angles 90.00, 90.00, 90.00 degrees
Site moments in Bohr magnetons follow the coordinates.
Atoms (fractional coordinates):
1 Pt 0.750 0.909 0.522  -0.14
2 Sb 0.250 0.847 0.843  -0.02
3 Pt 0.250 0.591 0.022  -0.14
4 Pt 0.750 0.584 0.575  -0.09
5 Sb 0.750 0.153 0.157  -0.02
6 Pt 0.750 0.409 0.978  -0.14
7 Pt 0.994 0.429 0.201  -0.04
8 Pt 0.750 0.828 0.779  -0.06
9 Pt 0.006 0.571 0.799  -0.04
10 Pt 0.506 0.929 0.299  -0.04
11 Pt 0.994 0.929 0.299  -0.04
12 Sb 0.250 0.347 0.657  -0.02
13 Pu 0.250 0.253 0.951  5.04
14 Pt 0.250 0.172 0.221  -0.06
15 Pt 0.494 0.071 0.701  -0.04
16 Pt 0.750 0.084 0.925  -0.09
17 Sb 0.750 0.653 0.343  -0.02
18 Pu 0.250 0.753 0.549  5.04
19 Pt 0.250 0.672 0.279  -0.06
20 Pt 0.006 0.071 0.701  -0.04
21 Pt 0.506 0.429 0.201  -0.04
22 Pt 0.250 0.091 0.478  -0.14
23 Pt 0.494 0.571 0.799  -0.04
24 Pu 0.750 0.247 0.451  5.04
25 Pt 0.750 0.328 0.721  -0.06
26 Pt 0.250 0.416 0.425  -0.09
27 Pt 0.250 0.916 0.075  -0.09
28 Pu 0.750 0.747 0.049  5.04



Entry 3:
A relaxed structure of Pm6Er3Tm2In, computed with PBE.

Results
- Raw total energy: -54.2 eV/cell
- Crystal system: monoclinic
- Energy of formation from the pure elements: -0.37 eV per formula unit

Cell lengths 6.162, 6.162, 11.695 Å; angles 95.08, 95.08, 120.10 degrees
Atoms (fractional coordinates):
1 Pm 0.411 0.082 0.247
2 Pm 0.589 0.918 0.753
3 Pm 0.082 0.411 0.247
4 Er 0.168 0.832 0.500
5 Tm 0.666 0.334 0.000
6 Pm 0.246 0.246 0.751
7 Pm 0.754 0.754 0.249
8 Er 0.832 0.168 0.500
9 In 0.000 0.000 0.000
10 Tm 0.334 0.666 0.000
11 Er 0.500 0.500 0.500
12 Pm 0.918 0.589 0.753



Entry 4:
A relaxed structure of Li3GaBr, computed with PBE.

Results
- Raw total energy: -12.3 eV/cell
- Crystal system: cubic
- ΔE_f (raw): -0.372 eV/atom

Cell lengths 4.841, 4.841, 4.841 Å; angles 90.00, 90.00, 90.00 degrees
Atoms (fractional coordinates):
1 Li 0.000 0.500 0.000
2 Ga 0.500 0.500 0.500
3 Li 0.500 0.000 0.000
4 Li 0.000 0.000 0.500
5 Br 0.000 0.000 0.000



Number 1: mass density 7.78 g/cm3. Number 2: mass density 16.95 g/cm3. Number 3: mass density 8.01 g/cm3. Number 4: mass density 2.50 g/cm3.